I2Br | PBE-GGA | optimized geometry

POSCAR file:
```
I2Br
1.0
4.848 0.000 0.000
-1.769 5.750 0.000
-1.760 -0.703 6.205
I Br
2 1
Direct
0.000 0.000 0.000
0.179 0.320 0.378
0.618 0.591 0.741
```

## Properties
- Total magnetic moment: 0.000 μB per atom
- Space-group type: P1, No. 1
- Relative energy among the computed polymorphs: 91 meV per atom
- Crystal system: triclinic

=====

CsPtNO2 | PBE-GGA | optimized geometry

POSCAR file:
```
CsPtNO2
1.0
4.213 0.000 0.000
0.000 4.213 0.000
0.000 0.000 4.925
Cs Pt N O
1 1 1 2
Direct
0.000 0.000 0.000
0.500 0.500 0.500
0.000 0.000 0.500
0.000 0.500 0.000
0.500 0.000 0.000
```

## Properties
- Total magnetic moment: 0.243 μB per atom
- Space-group type: P4/mmm, No. 123
- Uncorrected energy: -14.25 eV for the cell shown
- Crystal system: tetragonal

=====

BeAs2PtSe | PBE-GGA | optimized geometry

POSCAR file:
```
BeAs2PtSe
1.0
4.367 0.000 0.000
0.000 4.367 0.000
0.000 0.000 4.575
Be As Pt Se
1 2 1 1
Direct
0.000 0.000 0.000
0.000 0.500 0.000
0.500 0.000 0.000
0.500 0.500 0.500
0.000 0.000 0.500
```

## Properties
- Total magnetic moment: 0.000 μB per atom
- Space-group type: P4/mmm, No. 123
- Relative energy among the computed polymorphs: 0 meV per atom
- Crystal system: tetragonal